(1)
Density functional theory data (PBE-GGA) for an optimized crystal structure of BeOsCl2.

Geometry as CIF:
```
data_BeOsCl2
_cell_length_a 3.3179
_cell_length_b 2.9667
_cell_length_c 7.7268
_cell_angle_alpha 90.00
_cell_angle_beta 97.21
_cell_angle_gamma 90.00
_symmetry_space_group_name_H-M 'P 1 m 1'
_symmetry_Int_Tables_number 6
loop_
_symmetry_equiv_pos_as_xyz
'x,y,z'
'x,-y,z'
loop_
_atom_site_label
_atom_site_fract_x
_atom_site_fract_y
_atom_site_fract_z
Be1 0.0000 0.0000 0.0000
Os1 0.5274 0.5000 0.1140
Cl1 0.2446 0.5000 0.8151
Cl2 0.6319 0.0000 0.3544
```

Calculated values
E_form (uncorrected) = -0.0578 eV per atom
D(E_F) = 1.64 states/eV/f.u.

=====

(2)
Density functional theory data (PBE-GGA) for an optimized crystal structure of BeOsCl2.

Geometry as CIF:
```
data_BeOsCl2
_cell_length_a 2.8769
_cell_length_b 5.5239
_cell_length_c 9.2219
_cell_angle_alpha 90.00
_cell_angle_beta 90.00
_cell_angle_gamma 90.00
_symmetry_space_group_name_H-M 'C m m 2'
_symmetry_Int_Tables_number 35
loop_
_symmetry_equiv_pos_as_xyz
'x,y,z'
'-x,-y,z'
'-x,y,z'
'x,-y,z'
'x+1/2,y+1/2,z'
'-x+1/2,-y+1/2,z'
'-x+1/2,y+1/2,z'
'x+1/2,-y+1/2,z'
loop_
_atom_site_label
_atom_site_fract_x
_atom_site_fract_y
_atom_site_fract_z
Be1 0.0000 0.0000 0.0000
Os1 0.0000 0.5000 0.7813
Cl1 0.0000 0.0000 0.5773
Cl2 0.0000 0.5000 0.1523
```

Calculated values
E_form (uncorrected) = 0.1133 eV per atom
D(E_F) = 2.88 states/eV/f.u.

=====

(3)
Density functional theory data (PBE-GGA) for an optimized crystal structure of BeOsCl3.

Geometry as CIF:
```
data_BeOsCl3
_cell_length_a 4.4876
_cell_length_b 4.4876
_cell_length_c 4.4876
_cell_angle_alpha 90.00
_cell_angle_beta 90.00
_cell_angle_gamma 90.00
_symmetry_space_group_name_H-M 'P m -3 m'
_symmetry_Int_Tables_number 221
_symmetry_space_group_name_Hall '-P 4 2 3'
loop_
_atom_site_label
_atom_site_fract_x
_atom_site_fract_y
_atom_site_fract_z
Be1 0.0000 0.0000 0.0000
Os1 0.5000 0.5000 0.5000
Cl1 0.0000 0.0000 0.5000
```

Calculated values
E_form (uncorrected) = 0.6893 eV per atom
D(E_F) = 5.21 states/eV/f.u.

=====

(4)
Density functional theory data (PBE-GGA) for an optimized crystal structure of BeOs2Cl.

Geometry as CIF:
```
data_BeOs2Cl
_cell_length_a 2.8278
_cell_length_b 4.8443
_cell_length_c 9.5853
_cell_angle_alpha 90.00
_cell_angle_beta 90.00
_cell_angle_gamma 90.00
_symmetry_space_group_name_H-M 'C m m 2'
_symmetry_Int_Tables_number 35
loop_
_symmetry_equiv_pos_as_xyz
'x,y,z'
'-x,-y,z'
'-x,y,z'
'x,-y,z'
'x+1/2,y+1/2,z'
'-x+1/2,-y+1/2,z'
'-x+1/2,y+1/2,z'
'x+1/2,-y+1/2,z'
loop_
_atom_site_label
_atom_site_fract_x
_atom_site_fract_y
_atom_site_fract_z
Be1 0.0000 0.0000 0.0000
Os1 0.0000 0.0000 0.5664
Os2 0.0000 0.5000 0.7916
Cl1 0.0000 0.5000 0.1469
```

Calculated values
E_form (uncorrected) = 0.4931 eV per atom
D(E_F) = 4.00 states/eV/f.u.

=====

(5)
Density functional theory data (PBE-GGA) for an optimized crystal structure of BeOsCl2.

Geometry as CIF:
```
data_BeOsCl2
_cell_length_a 2.8940
_cell_length_b 8.3212
_cell_length_c 9.0544
_cell_angle_alpha 90.00
_cell_angle_beta 90.00
_cell_angle_gamma 90.00
_symmetry_space_group_name_H-M 'I m m 2'
_symmetry_Int_Tables_number 44
loop_
_symmetry_equiv_pos_as_xyz
'x,y,z'
'-x,-y,z'
'-x,y,z'
'x,-y,z'
'x+1/2,y+1/2,z+1/2'
'-x+1/2,-y+1/2,z+1/2'
'-x+1/2,y+1/2,z+1/2'
'x+1/2,-y+1/2,z+1/2'
loop_
_atom_site_label
_atom_site_fract_x
_atom_site_fract_y
_atom_site_fract_z
Be1 0.0000 0.0000 0.0000
Os1 0.0000 0.5000 0.7214
Cl1 0.0000 0.0000 0.4217
Cl2 0.0000 0.5000 0.3463
```

Calculated values
E_form (uncorrected) = 0.3484 eV per atom
D(E_F) = 2.78 states/eV/f.u.

=====

(6)
Density functional theory data (PBE-GGA) for an optimized crystal structure of BeOs2Cl.

Geometry as CIF:
```
data_BeOs2Cl
_cell_length_a 2.8342
_cell_length_b 2.8342
_cell_length_c 7.9604
_cell_angle_alpha 90.00
_cell_angle_beta 90.00
_cell_angle_gamma 90.00
_symmetry_space_group_name_H-M 'P 4 m m'
_symmetry_Int_Tables_number 99
loop_
_symmetry_equiv_pos_as_xyz
'x,y,z'
'-y,x,z'
'-x,-y,z'
'y,-x,z'
'-x,y,z'
'y,x,z'
'x,-y,z'
'-y,-x,z'
loop_
_atom_site_label
_atom_site_fract_x
_atom_site_fract_y
_atom_site_fract_z
Be1 0.0000 0.0000 0.0000
Os1 0.0000 0.0000 0.6180
Os2 0.5000 0.5000 0.8336
Cl1 0.5000 0.5000 0.3914
```

Calculated values
E_form (uncorrected) = 0.3531 eV per atom
D(E_F) = 1.98 states/eV/f.u.